No. 1
Material: PmNi2P
Method: DFT, PBE
State: optimized geometry

Summary:
total DFT energy (no corrections): -6.134 eV per atom

abc: 3.819 3.819 8.898
angles: 90.00 90.00 90.00
Element x y z (fractional)
Pm 0.500 0.000 0.225
Pm 0.000 0.500 0.775
Ni 0.500 0.000 0.905
Ni 0.000 0.500 0.095
Ni 0.000 0.000 0.500
Ni 0.500 0.500 0.500
P 0.500 0.000 0.644
P 0.000 0.500 0.356



No. 2
Material: Pm2Ni3P4
Method: DFT, PBE
State: optimized geometry

Summary:
total DFT energy (no corrections): -6.221 eV per atom

abc: 5.370 7.012 7.937
angles: 90.00 109.77 90.00
Element x y z (fractional)
Pm 0.113 0.589 0.227
Pm 0.887 0.411 0.773
Pm 0.387 0.089 0.773
Pm 0.613 0.911 0.227
Ni 0.000 0.000 0.000
Ni 0.500 0.500 0.000
Ni 0.539 0.750 0.578
Ni 0.961 0.250 0.422
Ni 0.461 0.250 0.422
Ni 0.039 0.750 0.578
P 0.698 0.750 0.895
P 0.802 0.250 0.105
P 0.302 0.250 0.105
P 0.198 0.750 0.895
P 0.200 0.959 0.400
P 0.800 0.041 0.600
P 0.300 0.459 0.600
P 0.700 0.541 0.400



No. 3
Material: PmNi3P2
Method: DFT, PBE
State: optimized geometry

Summary:
energy above the lowest structure with this stoichiometry: 33 meV per atom

abc: 3.782 7.403 6.917
angles: 113.74 90.00 104.80
Element x y z (fractional)
Pm 0.846 0.692 0.930
Pm 0.154 0.308 0.070
Ni 0.316 0.633 0.561
Ni 0.958 0.916 0.633
Ni 0.595 0.191 0.679
Ni 0.405 0.809 0.321
Ni 0.042 0.084 0.367
Ni 0.684 0.367 0.439
P 0.480 0.960 0.818
P 0.520 0.040 0.182
P 0.814 0.627 0.332
P 0.186 0.373 0.668



No. 4
Material: PmNiP
Method: DFT, PBE
State: optimized geometry

Summary:
energy above the lowest structure with this stoichiometry: 15 meV per atom

abc: 4.018 3.957 3.957
angles: 120.00 90.00 90.00
Element x y z (fractional)
Ni 0.166 0.333 0.667
P 0.167 0.000 0.000
Pm 0.667 0.667 0.333



Number 1: size of the total moment 0.000 μB/f.u.. Number 2: size of the total moment 0.000 μB/f.u.. Number 3: size of the total moment 0.000 μB/f.u.. Number 4: size of the total moment 0.000 μB/f.u..